20
Lattice="4.679 -7.711 0.000 4.679 7.711 0.000 -1.222 0.000 9.637" Properties=species:S:1:pos:R:3 comment="PBE-GGA PmPr6Dy2Tm, optimized geometry" crystal_system=monoclinic space_group="C2/c (15)" delta_e_f_ev_per_atom=0.11 vol_a3_per_cell=695.4 final_energy_ev_per_atom=-4.60 pbc="T T T"
Pm 3.762 7.297 7.228
Pm 4.373 -7.297 2.409
Pr 1.820 4.306 6.644
Pr 4.041 4.971 0.524
Pr 4.705 4.971 4.295
Pr 2.688 1.683 8.511
Pr 5.704 4.306 7.812
Pr 4.837 1.683 5.945
Pr 3.299 -1.683 3.692
Pr 2.431 -4.306 1.825
Pr 5.448 -1.683 1.126
Pr 3.430 -4.971 5.343
Pr 4.094 -4.971 9.114
Pr 6.315 -4.306 2.993
Dy 1.678 0.750 5.273
Dy 2.289 -0.750 0.455
Dy 5.846 0.750 9.183
Dy 6.457 -0.750 4.364
Tm 4.373 1.347 2.409
Tm 3.762 -1.347 7.228